[1]
# GGA-PBE Tb5Y2Pu, optimized geometry
data_Tb5Y2Pu
_chemical_formula_sum 'Tb10 Y4 Pu2'
_cell_length_a 6.645
_cell_length_b 6.646
_cell_length_c 13.090
_cell_angle_alpha 70.05
_cell_angle_beta 70.05
_cell_angle_gamma 87.30
_symmetry_space_group_name_H-M 'P 1'
_symmetry_Int_Tables_number 1
loop_
_symmetry_equiv_pos_as_xyz
'x,y,z'
loop_
_atom_site_label
_atom_site_fract_x
_atom_site_fract_y
_atom_site_fract_z
Tb1 0.744 0.970 0.518
Tb2 0.970 0.744 0.018
Tb3 0.030 0.256 0.982
Tb4 0.010 0.638 0.740
Tb5 0.478 0.523 0.250
Tb6 0.522 0.477 0.750
Tb7 0.362 0.990 0.760
Tb8 0.638 0.010 0.240
Tb9 0.990 0.362 0.260
Tb10 0.256 0.030 0.482
Y1 0.000 0.500 0.500
Y2 0.500 0.500 0.000
Y3 0.500 0.500 0.500
Y4 0.500 0.000 0.000
Pu1 0.114 0.886 0.250
Pu2 0.886 0.114 0.750
# **Calculated formation energy**: 180.6 meV/atom

=====

[2]
# GGA-PBE Tb4Y3Pu, optimized geometry
data_Tb4Y3Pu
_chemical_formula_sum 'Tb4 Y3 Pu1'
_cell_length_a 3.441
_cell_length_b 11.580
_cell_length_c 8.794
_cell_angle_alpha 131.18
_cell_angle_beta 101.28
_cell_angle_gamma 90.00
_symmetry_space_group_name_H-M 'P 1'
_symmetry_Int_Tables_number 1
loop_
_symmetry_equiv_pos_as_xyz
'x,y,z'
loop_
_atom_site_label
_atom_site_fract_x
_atom_site_fract_y
_atom_site_fract_z
Tb1 0.631 0.884 0.263
Tb2 0.369 0.116 0.737
Tb3 0.631 0.379 0.263
Tb4 0.369 0.621 0.737
Y1 0.763 0.763 0.526
Y2 0.000 0.500 0.000
Y3 0.237 0.237 0.474
Pu1 0.500 0.000 0.000
# **Calculated formation energy**: 149.2 meV/atom

=====

[3]
# GGA-PBE TbYPu2, optimized geometry
data_TbYPu2
_chemical_formula_sum 'Tb1 Y1 Pu2'
_cell_length_a 3.386
_cell_length_b 3.386
_cell_length_c 12.293
_cell_angle_alpha 82.08
_cell_angle_beta 82.08
_cell_angle_gamma 60.00
_symmetry_space_group_name_H-M 'P 1'
_symmetry_Int_Tables_number 1
loop_
_symmetry_equiv_pos_as_xyz
'x,y,z'
loop_
_atom_site_label
_atom_site_fract_x
_atom_site_fract_y
_atom_site_fract_z
Pu1 0.086 0.086 0.741
Pu2 0.914 0.914 0.259
Y1 0.000 0.000 0.000
Tb1 0.500 0.500 0.500
# **Calculated formation energy**: 351.2 meV/atom
# **Energy above the lowest structure with this stoichiometry**: 0.65 eV/f.u.

=====

[4]
# GGA-PBE Tb10Y6Pu, optimized geometry
data_Tb10Y6Pu
_chemical_formula_sum 'Tb10 Y6 Pu1'
_cell_length_a 6.813
_cell_length_b 9.654
_cell_length_c 9.654
_cell_angle_alpha 120.00
_cell_angle_beta 90.00
_cell_angle_gamma 90.00
_symmetry_space_group_name_H-M 'P 1'
_symmetry_Int_Tables_number 1
loop_
_symmetry_equiv_pos_as_xyz
'x,y,z'
loop_
_atom_site_label
_atom_site_fract_x
_atom_site_fract_y
_atom_site_fract_z
Tb1 0.812 0.000 0.268
Tb2 0.000 0.333 0.667
Tb3 0.812 0.732 0.732
Tb4 0.500 0.333 0.667
Tb5 0.188 0.268 0.268
Tb6 0.812 0.268 0.000
Tb7 0.188 0.732 0.000
Tb8 0.000 0.667 0.333
Tb9 0.188 0.000 0.732
Tb10 0.500 0.667 0.333
Y1 0.699 0.000 0.623
Y2 0.699 0.377 0.377
Y3 0.301 0.000 0.377
Y4 0.301 0.377 0.000
Y5 0.699 0.623 0.000
Y6 0.301 0.623 0.623
Pu1 0.500 0.000 0.000
# **Calculated formation energy**: 161.1 meV/atom